(1)
Hf5Co2Sb: optimized geometry, PBE. Values from VASP.

Structure (Quantum ESPRESSO input):
```
&SYSTEM
  ibrav = 0, nat = 16, ntyp = 3
/
ATOMIC_SPECIES
Hf 178.49 Hf.upf
Co 58.93 Co.upf
Sb 121.76 Sb.upf
CELL_PARAMETERS angstrom
-2.247 1.824 -6.396
6.348 -1.423 -2.637
-3.843 -6.197 3.436
ATOMIC_POSITIONS crystal
Hf 0.500 0.500 0.000
Hf 0.288 0.788 0.260
Hf 0.712 0.212 0.740
Hf 0.788 0.972 0.260
Hf 0.212 0.028 0.740
Hf 0.972 0.472 0.260
Hf 0.028 0.528 0.740
Hf 0.528 0.712 0.740
Hf 0.472 0.288 0.260
Hf 0.000 0.000 0.000
Co 0.633 0.133 0.000
Co 0.367 0.867 0.000
Co 0.867 0.633 0.000
Co 0.133 0.367 0.000
Sb 0.250 0.250 0.500
Sb 0.750 0.750 0.500
```

Results
Raw formation energy (eV per atom): -0.38
VASP energy (eV/f.u.): -71.14
Space group: I4/mcm, No. 140

---

(2)
BaLi2Hg: optimized geometry, PBE. Values from VASP.

Structure (Quantum ESPRESSO input):
```
&SYSTEM
  ibrav = 0, nat = 4, ntyp = 3
/
ATOMIC_SPECIES
Li 6.94 Li.upf
Hg 200.59 Hg.upf
Ba 137.33 Ba.upf
CELL_PARAMETERS angstrom
6.554 0.003 0.002
4.802 4.461 0.002
4.802 1.887 4.042
ATOMIC_POSITIONS crystal
Li 0.445 0.445 0.445
Li 0.055 0.055 0.055
Hg 0.750 0.750 0.750
Ba 0.250 0.250 0.250
```

Results
Energy relative to the elements (eV per atom): -0.24
VASP energy (eV/f.u.): -7.00
Space group: R-3m, No. 166

---

(3)
AlNi4Au: optimized geometry, PBE. Values from VASP.

Structure (Quantum ESPRESSO input):
```
&SYSTEM
  ibrav = 0, nat = 6, ntyp = 3
/
ATOMIC_SPECIES
Ni 58.69 Ni.upf
Au 196.97 Au.upf
Al 26.98 Al.upf
CELL_PARAMETERS angstrom
0.000 3.362 3.362
3.362 0.000 3.362
3.362 3.362 0.000
ATOMIC_POSITIONS crystal
Ni 0.625 0.126 0.625
Ni 0.126 0.625 0.625
Ni 0.625 0.625 0.126
Ni 0.625 0.625 0.625
Au 0.000 0.000 0.000
Al 0.250 0.250 0.250
```

Results
Energy relative to the elements (eV per atom): -0.11
VASP energy (eV/f.u.): -30.80
Space group: F-43m, No. 216

---

Which value of VASP energy does entry 1 give? -71.14 eV/f.u.